# 1
Hg4TeSeS2: optimized geometry, PBE.

Values from the calculation:
SG	I-42m, No. 121
ΔE_f (raw)	-0.14	eV per atom
total moment	0.00	μB/cell

Lattice parameters (Å, degrees): 6.2238 6.2238 7.6281 114.06 114.06 90.04
Closest atoms and distances in Å follow each position.
Fractional positions:
Hg 0.8759 0.3932 0.2690  2 S 2.63, 1 Se 2.71, 1 Te 2.83
Hg 0.3932 0.8759 0.2690  2 S 2.63, 1 Se 2.71, 1 Te 2.83
Hg 0.6067 0.6067 0.7308  2 S 2.63, 1 Se 2.71, 1 Te 2.83
Hg 0.1241 0.1241 0.7308  2 S 2.63, 1 Se 2.71, 1 Te 2.83
S 0.2501 0.7501 0.5002  4 Hg 2.63
S 0.7501 0.2501 0.5002  4 Hg 2.63
Te 0.0001 0.0001 0.0002  4 Hg 2.83
Se 0.5001 0.5001 0.0003  4 Hg 2.71

=====

# 2
MnP3: optimized geometry, PBE.

Values from the calculation:
SG	I4/mmm, No. 139
E_form	0.413	eV/atom
total moment	3.51	μB/cell

Lattice parameters (Å, degrees): 5.6100 5.6100 5.6100 144.18 144.18 51.56
Closest atoms and distances in Å follow each position.
Fractional positions:
P 0.7500 0.2500 0.5000  4 P 2.44
P 0.5000 0.5000 0.0000  4 Mn 2.44
P 0.2500 0.7500 0.5000  4 P 2.44
Mn 0.0000 0.0000 0.0000  4 P 2.44

=====

# 3
GePtO2: optimized geometry, PBE.

Values from the calculation:
SG	Cm, No. 8
ΔE_f (raw)	-0.82	eV per atom
total moment	0.00	μB/cell

Lattice parameters (Å, degrees): 4.8064 3.2245 14.2433 90.00 94.34 90.00
Closest atoms and distances in Å follow each position.
Fractional positions:
O 0.4362 0.5000 0.0123  2 Ge 1.85
O 0.8075 0.0000 0.3590  1 Ge 1.78
O 0.6166 0.0000 0.1728  1 Ge 1.87, 2 Pt 2.05
O 0.4362 0.0000 0.5123  2 Ge 1.85
O 0.0489 0.5000 0.5844  1 Ge 1.84, 2 Pt 2.04
O 0.8075 0.5000 0.8590  1 Ge 1.78
O 0.6166 0.5000 0.6728  1 Ge 1.87, 2 Pt 2.05
O 0.0489 0.0000 0.0844  1 Ge 1.84, 2 Pt 2.04
Pt 0.8467 0.5000 0.1354  4 O 2.04-2.05
Pt 0.1265 0.5000 0.3147  2 O 2.34, 3 Ge 2.38-2.43
Pt 0.1265 0.0000 0.8147  2 O 2.34, 3 Ge 2.38-2.43
Pt 0.8467 0.0000 0.6354  4 O 2.04-2.05
Ge 0.2629 0.5000 0.4826  3 O 1.84-1.85
Ge 0.4803 0.0000 0.2920  2 O 1.78-1.87
Ge 0.2629 0.0000 0.9826  3 O 1.84-1.85
Ge 0.4803 0.5000 0.7920  2 O 1.78-1.87

=====

# 4
Ag2IF: optimized geometry, PBE.

Values from the calculation:
SG	R-3m, No. 166
ΔE_f (raw)	-0.51	eV per atom
total moment	0.00	μB/cell

Lattice parameters (Å, degrees): 4.7969 4.7969 6.8384 69.47 69.47 60.00
Closest atoms and distances in Å follow each position.
Fractional positions:
Ag 0.1159 0.1159 0.6523  1 F 2.17
Ag 0.8841 0.8841 0.3477  1 F 2.17
F 0.0000 0.0000 0.0000  2 Ag 2.17
I 0.5000 0.5000 0.5000  6 Ag 2.93

=====

# 5
SrTe2P: optimized geometry, PBE.

Values from the calculation:
SG	P4mm, No. 99
ΔE_f (raw)	-0.52	eV per atom
total moment	0.00	μB/cell

Lattice parameters (Å, degrees): 4.4755 4.4755 6.6170 90.00 90.00 90.00
Closest atoms and distances in Å follow each position.
Fractional positions:
Sr 0.5000 0.5000 0.8571  6 Te 3.22-3.33
Te 0.0000 0.0000 0.9499  1 P 2.53
Te 0.5000 0.5000 0.3609  4 P 3.17, 2 Sr 3.28-3.33
P 0.0000 0.0000 0.3322  1 Te 2.53

=====

# 6
CeSmTlAu: optimized geometry, PBE.

Values from the calculation:
SG	F-43m, No. 216
E_form	-0.436	eV/atom
total moment	1.43	μB/cell

Lattice parameters (Å, degrees): 5.3667 5.3667 5.3667 60.00 60.00 60.00
Closest atoms and distances in Å follow each position.
Fractional positions:
Ce 0.7500 0.7500 0.7500  4 Tl 3.29, 4 Au 3.29
Au 0.0000 0.0000 0.0000  4 Ce 3.29, 4 Sm 3.29
Sm 0.2500 0.2500 0.2500  4 Au 3.29, 4 Tl 3.29
Tl 0.5000 0.5000 0.5000  4 Sm 3.29, 4 Ce 3.29